[1]
# Ac7In2Pd2

A geometry-optimized Ac7In2Pd2 structure (GGA-PBE, Alexandria via LeMat-Bulk).

abc: 4.3082 17.6079 10.6271
angles: 90.00 90.00 90.00
With the nearest neighbours (Å) after each atom.
Space group Imm2 (No. 44)
One atom of each set of equivalent atoms:
1 Ac 0.0000 0.0000 0.0000  2 Pd 3.20
2 Ac 0.0000 0.1043 0.3854  3 Pd 3.28-3.32, 2 In 3.50
3 Ac 0.0000 0.3237 0.6049  1 Pd 3.35, 3 In 3.35
4 Ac 0.0000 0.3831 0.2181  2 Pd 3.09
5 In 0.0000 0.2393 0.8875  7 Ac 3.35-3.54
6 Pd 0.0000 0.0000 0.6407  6 Ac 3.09-3.28
7 Pd 0.0000 0.5000 0.7226  8 Ac 3.20-3.35

## Properties
Volume in Å³/atom: 36.64
E in eV per atom: -4.444
Magnetization in μB per formula unit: 0.0

[2]
# GaAuSeBr2

A geometry-optimized GaAuSeBr2 structure (GGA-PBE, Alexandria via LeMat-Bulk).

abc: 5.3475 5.3475 5.1693
angles: 90.00 90.00 90.00
With the nearest neighbours (Å) after each atom.
Space group P4/mmm (No. 123)
One atom of each set of equivalent atoms:
1 Ga 0.0000 0.0000 0.0000  8 Br 3.72, 4 Se 3.78
2 Au 0.5000 0.5000 0.5000  2 Se 2.58, 4 Br 2.67
3 Se 0.5000 0.5000 0.0000  2 Au 2.58
4 Br 0.0000 0.5000 0.5000  2 Au 2.67

## Properties
Volume in Å³/atom: 29.56
E in eV per atom: -2.559
Magnetization in μB per formula unit: 0.7

[3]
# NbAl3Pb

A geometry-optimized NbAl3Pb structure (GGA-PBE, Alexandria via LeMat-Bulk).

abc: 5.0607 5.0607 5.0607
angles: 90.00 90.00 90.00
With the nearest neighbours (Å) after each atom.
Space group Pm-3m (No. 221)
One atom of each set of equivalent atoms:
1 Nb 0.0000 0.0000 0.0000  6 Al 2.53
2 Al 0.0000 0.0000 0.5000  2 Nb 2.53
3 Pb 0.5000 0.5000 0.5000  12 Al 3.58

## Properties
Volume in Å³/atom: 25.92
E in eV per atom: -4.410
Magnetization in μB per formula unit: 0.0

[4]
# AsClF3

A geometry-optimized AsClF3 structure (GGA-PBE, Alexandria via LeMat-Bulk).

abc: 6.8129 5.5762 5.5233
angles: 90.00 90.00 90.00
With the nearest neighbours (Å) after each atom.
Space group Pmn2_1 (No. 31)
One atom of each set of equivalent atoms:
1 As 0.0000 0.0509 0.0000  3 F 1.76-1.79
2 Cl 0.0000 0.3437 0.2939  1 As 2.30
3 F 0.0000 0.7628 0.8566  1 As 1.79
4 F 0.1949 0.1632 0.8244  1 As 1.76

## Properties
Volume in Å³/atom: 20.98
E in eV per atom: -3.953
Magnetization in μB per formula unit: 1.0